{
  "formula": "CaHfO2",
  "functional": "PBEsol",
  "state": "relaxed",
  "cell": [[5.0815, 0.0000, 0.0000], [0.0000, 5.0815, 0.0000], [-2.5408, -2.5408, 5.1107]],
  "species": ["Ca", "Ca", "Hf", "Hf", "O", "O", "O", "O"],
  "fractional_positions": [[0.7500, 0.2500, 0.5000], [0.5000, 0.5000, 0.0000], [0.2500, 0.7500, 0.5000], [0.0000, 0.0000, 0.0000], [0.3176, 0.8750, 0.2500], [0.9324, 0.3750, 0.2500], [0.1250, 0.0676, 0.7500], [0.6250, 0.6824, 0.7500]],
  "de_polymorph_mev_per_atom": 128,
  "final_energy_ev_per_atom": -8.2287,
  "raw_formation_energy_ev_per_atom": -2.4450,
  "n_ef_per_ev_cell": 5.0
}